No. 1
Density functional theory data (GGA-PBE) for LaPr2NdHg4 after structural relaxation.

Computed properties:
Its formation energy is -0.480 eV per atom. Its space-group type is No. 166.

Lattice parameters (Å, degrees): 9.4903 9.4903 9.4903 33.50 33.50 33.50
Closest atoms and distances in Å follow each position.
Fractional positions:
La: 0.0000 0.0000 0.0000  8 Hg 3.36-3.38
Pr: 0.2496 0.2496 0.2496  8 Hg 3.32-3.39
Pr: 0.7504 0.7504 0.7504  8 Hg 3.32-3.39
Nd: 0.5000 0.5000 0.5000  8 Hg 3.33-3.34
Hg: 0.1259 0.1259 0.1259  4 Pr 3.32-3.35, 3 Nd 3.34, 1 La 3.38
Hg: 0.3760 0.3760 0.3760  1 Nd 3.33, 4 Pr 3.35-3.39, 3 La 3.36
Hg: 0.6240 0.6240 0.6240  1 Nd 3.33, 4 Pr 3.35-3.39, 3 La 3.36
Hg: 0.8741 0.8741 0.8741  4 Pr 3.32-3.35, 3 Nd 3.34, 1 La 3.38

***

No. 2
Density functional theory data (GGA-PBE) for LaNdHgPt after structural relaxation.

Computed properties:
Its formation energy is -0.721 eV per atom. Its space-group type is No. 216.

Lattice parameters (Å, degrees): 5.3023 5.3023 5.3023 60.00 60.00 60.00
Closest atoms and distances in Å follow each position.
Fractional positions:
La: 0.0000 0.0000 0.0000  4 Hg 3.25, 4 Pt 3.25
Nd: 0.5000 0.5000 0.5000  4 Hg 3.25, 4 Pt 3.25
Hg: 0.7500 0.7500 0.7500  4 La 3.25, 4 Nd 3.25
Pt: 0.2500 0.2500 0.2500  4 La 3.25, 4 Nd 3.25

***

No. 3
Density functional theory data (GGA-PBE) for LaNdHgRh after structural relaxation.

Computed properties:
Its formation energy is -0.510 eV per atom. Its space-group type is No. 216. For the energy above the most stable polymorph in this dataset, the calculation gives 67 meV per atom.

Lattice parameters (Å, degrees): 5.2662 5.2662 5.2662 60.00 60.00 60.00
Closest atoms and distances in Å follow each position.
Fractional positions:
La: 0.0000 0.0000 0.0000  4 Hg 3.22, 4 Rh 3.22
Nd: 0.5000 0.5000 0.5000  4 Rh 3.22, 4 Hg 3.22
Hg: 0.7500 0.7500 0.7500  4 Nd 3.22, 4 La 3.22
Rh: 0.2500 0.2500 0.2500  4 Nd 3.22, 4 La 3.22

***

No. 4
Density functional theory data (GGA-PBE) for La3Nd3Hg2Rh after structural relaxation.

Computed properties:
Its formation energy is -0.414 eV per atom. Its space-group type is No. 189.

Lattice parameters (Å, degrees): 8.9145 8.9145 3.8990 90.00 90.00 120.00
Closest atoms and distances in Å follow each position.
Fractional positions:
La: 0.0000 0.7577 0.0000  2 Rh 2.91
La: 0.2423 0.2423 0.0000  2 Rh 2.91
La: 0.7577 0.0000 0.0000  2 Rh 2.91
Nd: 0.0000 0.4059 0.5000  4 Hg 3.34, 1 Rh 3.62, 6 La 3.69-3.71
Nd: 0.4059 0.0000 0.5000  4 Hg 3.34, 1 Rh 3.62, 6 La 3.69-3.71
Nd: 0.5941 0.5941 0.5000  4 Hg 3.34, 1 Rh 3.62, 6 La 3.69-3.71
Hg: 0.3333 0.6667 0.0000  6 Nd 3.34, 3 La 3.45
Hg: 0.6667 0.3333 0.0000  6 Nd 3.34, 3 La 3.45
Rh: 0.0000 0.0000 0.5000  6 La 2.91

***

No. 5
Density functional theory data (GGA-PBE) for LaNdHgRh after structural relaxation.

Computed properties:
Its formation energy is -0.577 eV per atom. Its space-group type is No. 160. For the energy above the most stable polymorph in this dataset, the calculation gives 0 meV per atom.

Lattice parameters (Å, degrees): 8.1285 8.1285 8.1285 29.82 29.82 29.82
Closest atoms and distances in Å follow each position.
Fractional positions:
La: 0.0000 0.0000 0.0000  3 Rh 2.84
Nd: 0.8006 0.8006 0.8006  3 Rh 2.91
Hg: 0.2310 0.2310 0.2310  3 Nd 3.31, 3 La 3.39
Rh: 0.3974 0.3974 0.3974  3 La 2.84, 3 Nd 2.91

***

No. 6
Density functional theory data (GGA-PBE) for La2NdHgRu after structural relaxation.

Computed properties:
Its formation energy is -0.222 eV per atom. Its space-group type is No. 99.

Lattice parameters (Å, degrees): 5.4199 5.4199 5.6003 90.00 90.00 90.00
Closest atoms and distances in Å follow each position.
Fractional positions:
La: 0.0000 0.5000 0.0000  2 Ru 2.71
La: 0.5000 0.0000 0.0000  2 Ru 2.71
Nd: 0.0000 0.0000 0.5167  2 Ru 2.74-2.86
Hg: 0.5000 0.5000 0.5693  4 La 3.63, 4 Nd 3.84
Ru: 0.0000 0.0000 0.0274  4 La 2.71, 2 Nd 2.74-2.86

***

No. 7
Density functional theory data (GGA-PBE) for LaNdHgRu after structural relaxation.

Computed properties:
Its formation energy is -0.245 eV per atom. Its space-group type is No. 216. For the energy above the most stable polymorph in this dataset, the calculation gives 82 meV per atom.

Lattice parameters (Å, degrees): 5.2368 5.2368 5.2368 60.00 60.00 60.00
Closest atoms and distances in Å follow each position.
Fractional positions:
La: 0.0000 0.0000 0.0000  4 Ru 3.21, 4 Hg 3.21
Nd: 0.5000 0.5000 0.5000  4 Hg 3.21, 4 Ru 3.21
Hg: 0.2500 0.2500 0.2500  4 Nd 3.21, 4 La 3.21
Ru: 0.7500 0.7500 0.7500  4 Nd 3.21, 4 La 3.21

***

No. 8
Density functional theory data (GGA-PBE) for LaNdHgRu after structural relaxation.

Computed properties:
Its formation energy is -0.328 eV per atom. Its space-group type is No. 99. For the energy above the most stable polymorph in this dataset, the calculation gives 0 meV per atom.

Lattice parameters (Å, degrees): 3.5982 3.5982 7.9139 90.00 90.00 90.00
Closest atoms and distances in Å follow each position.
Fractional positions:
La: 0.0000 0.0000 0.0000  4 Ru 3.09, 4 Hg 3.43
Nd: 0.0000 0.0000 0.5621  4 Ru 3.07, 4 Hg 3.33
Hg: 0.5000 0.5000 0.2906  4 Nd 3.33, 4 La 3.43, 4 Hg 3.60
Ru: 0.5000 0.5000 0.7786  4 Nd 3.07, 4 La 3.09